# 1
# Tm2GeIr PBE-GGA optimized geometry
data_Tm2GeIr
_cell_length_a 3.4891
_cell_length_b 3.4891
_cell_length_c 6.8139
_cell_angle_alpha 90.00
_cell_angle_beta 90.00
_cell_angle_gamma 90.00
_symmetry_space_group_name_H-M 'P 1'
_symmetry_Int_Tables_number 1
_symmetry_space_group_name_Hall 'P 1'
loop_
_atom_site_label
_atom_site_fract_x
_atom_site_fract_y
_atom_site_fract_z
Ge1 0.5000 0.5000 0.5000
Ir1 0.5000 0.5000 0.0000
Tm1 0.0000 0.0000 0.7637
Tm2 0.0000 0.0000 0.2363
# * E_form: -0.78 eV per atom
# * DOS at the Fermi energy: 1.865 states/eV/f.u.
# * magnetic moment: 0.000 μB per atom
# * electronic total energy: -6.389 eV/atom



# 2
# TmGeIr2 PBE-GGA optimized geometry
data_TmGeIr2
_cell_length_a 4.3192
_cell_length_b 4.3192
_cell_length_c 5.1845
_cell_angle_alpha 65.38
_cell_angle_beta 65.38
_cell_angle_gamma 60.00
_symmetry_space_group_name_H-M 'P 1'
_symmetry_Int_Tables_number 1
_symmetry_space_group_name_Hall 'P 1'
loop_
_atom_site_label
_atom_site_fract_x
_atom_site_fract_y
_atom_site_fract_z
Ge1 0.5000 0.5000 0.5000
Ir1 0.7865 0.7865 0.6406
Ir2 0.2135 0.2135 0.3594
Tm1 0.0000 0.0000 0.0000
# * E_form: -0.50 eV per atom
# * DOS at the Fermi energy: 2.460 states/eV/f.u.
# * magnetic moment: 0.000 μB per atom
# * electronic total energy: -7.206 eV/atom